The following is a PBE with a Hubbard U calculation of Mg2FeO3 after structural relaxation, from Alexandria via LeMat-Bulk.

abc: 5.2758 5.2758 5.2934
angles: 100.07 100.07 120.03
Sites, in units of the cell vectors:
Mg  0.0000  0.0000  0.0000
Mg  0.1676  0.8324  0.5000
Mg  0.5000  0.5000  0.5000
Mg  0.8324  0.1676  0.5000
Fe  0.3311  0.6689  0.0000
Fe  0.6689  0.3311  0.0000
O  0.0812  0.4079  0.2590
O  0.2477  0.2477  0.7484
O  0.4079  0.0812  0.2590
O  0.5921  0.9188  0.7410
O  0.7523  0.7523  0.2516
O  0.9188  0.5921  0.7410

Calculated values
- calculated volume (A^3/atom) = 9.96
- VASP energy (eV for the cell shown) = -74.5